This record from the Alexandria database describes an optimized crystal structure of SnSbPt. The functional is GGA-PBEsol.

Properties
Theoretical density = 10.40 g cm⁻³
Formation energy without anion corrections = -43.65 kJ/mol of atoms

Cell lengths 3.903, 5.372, 6.639 Å; angles 91.66, 90.00, 90.00 degrees
Fractional positions:
Sb  0.500  0.705  0.865
Sn  0.000  0.791  0.360
Pt  0.500  0.500  0.500
Sb  0.500  0.295  0.135
Pt  0.000  0.000  0.000
Sn  0.000  0.209  0.640

This record from the Alexandria database describes an optimized crystal structure of YSnSb2Pt. The functional is GGA-PBEsol.

Properties
Theoretical density = 6.71 g cm⁻³
Formation energy without anion corrections = 53.73 kJ/mol of atoms

Cell lengths 5.064, 5.618, 5.618 Å; angles 90.00, 90.00, 90.00 degrees
Fractional positions:
Sb  0.000  0.500  0.000
Sb  0.000  0.000  0.500
Y  0.000  0.000  0.000
Pt  0.500  0.000  0.000
Sn  0.500  0.500  0.500

This record from the Alexandria database describes an optimized crystal structure of SrSb2Pt. The functional is GGA-PBEsol.

Properties
Theoretical density = 9.36 g cm⁻³
Formation energy without anion corrections = -37.23 kJ/mol of atoms

Cell lengths 4.397, 4.607, 4.607 Å; angles 90.00, 90.00, 90.00 degrees
Fractional positions:
Pt  0.500  0.000  0.000
Sb  0.000  0.500  0.000
Sr  0.500  0.500  0.500
Sb  0.000  0.000  0.500